[1]
The following is a DFT calculation (PBE) of a relaxed TaTeSI2 crystal.

Summary:
distance to the lowest polymorph of the same formula	0	meV/atom
space group	P4/mmm, No. 123
Fermi-level density of states	7.08	states/eV/cell
E_form (uncorrected)	0.537	eV/atom

a = 5.533 Å, b = 5.533 Å, c = 5.368 Å
α = 90.00°, β = 90.00°, γ = 90.00°
Fractional positions:
Ta: 0.000 0.000 0.000
Te: 0.000 0.000 0.500
S: 0.500 0.500 0.500
I: 0.000 0.500 0.000
I: 0.500 0.000 0.000

[2]
The following is a DFT calculation (PBE) of a relaxed Fe2NiPt2 crystal.

Summary:
distance to the lowest polymorph of the same formula	391	meV/atom
formation enthalpy at 0 K	1.58	eV per formula unit
space group	P4/mbm, No. 127
Fermi-level density of states	19.98	states/eV/cell

a = 7.123 Å, b = 7.123 Å, c = 2.662 Å
α = 90.00°, β = 90.00°, γ = 90.00°
Fractional positions:
Fe: 0.112 0.388 0.000
Fe: 0.388 0.888 0.000
Fe: 0.612 0.112 0.000
Fe: 0.888 0.612 0.000
Ni: 0.000 0.000 0.000
Ni: 0.500 0.500 0.000
Pt: 0.182 0.682 0.500
Pt: 0.318 0.182 0.500
Pt: 0.682 0.818 0.500
Pt: 0.818 0.318 0.500

[3]
The following is a DFT calculation (PBE) of a relaxed La5CeHo4 crystal.

Summary:
formation enthalpy at 0 K	1.00	eV per formula unit
space group	C2/m, No. 12
Fermi-level density of states	17.87	states/eV/cell

a = 9.221 Å, b = 9.221 Å, c = 11.123 Å
α = 106.04°, β = 106.04°, γ = 22.06°
Fractional positions:
La: 0.000 0.000 0.000
La: 0.297 0.297 0.899
La: 0.397 0.397 0.221
La: 0.603 0.603 0.779
La: 0.703 0.703 0.101
Ce: 0.000 0.000 0.500
Ho: 0.195 0.195 0.579
Ho: 0.406 0.406 0.682
Ho: 0.594 0.594 0.318
Ho: 0.805 0.805 0.421

[4]
The following is a DFT calculation (PBE) of a relaxed Rb4Ho3HfTe8 crystal.

Summary:
space group	R-3m, No. 166
Fermi-level density of states	4.73	states/eV/cell
E_form (uncorrected)	-1.231	eV/atom

a = 9.981 Å, b = 9.981 Å, c = 9.981 Å
α = 52.65°, β = 52.65°, γ = 52.65°
Fractional positions:
Rb: 0.000 0.000 0.000
Rb: 0.000 0.500 0.500
Rb: 0.500 0.000 0.500
Rb: 0.500 0.500 0.000
Ho: 0.000 0.000 0.500
Ho: 0.000 0.500 0.000
Ho: 0.500 0.000 0.000
Hf: 0.500 0.500 0.500
Te: 0.234 0.234 0.234
Te: 0.245 0.725 0.725
Te: 0.275 0.275 0.755
Te: 0.275 0.755 0.275
Te: 0.725 0.245 0.725
Te: 0.725 0.725 0.245
Te: 0.755 0.275 0.275
Te: 0.766 0.766 0.766

[5]
The following is a DFT calculation (PBE) of a relaxed Er5TmSc2 crystal.

Summary:
distance to the lowest polymorph of the same formula	80	meV/atom
formation enthalpy at 0 K	0.76	eV per formula unit
space group	I4/mcm, No. 140
Fermi-level density of states	15.89	states/eV/cell

a = 8.709 Å, b = 8.709 Å, c = 8.709 Å
α = 120.16°, β = 120.16°, γ = 89.71°
Fractional positions:
Er: 0.000 0.000 0.000
Er: 0.007 0.507 0.196
Er: 0.190 0.993 0.500
Er: 0.310 0.810 0.804
Er: 0.493 0.690 0.500
Er: 0.500 0.500 0.000
Er: 0.507 0.310 0.500
Er: 0.690 0.190 0.196
Er: 0.810 0.007 0.500
Er: 0.993 0.493 0.804
Tm: 0.250 0.250 0.000
Tm: 0.750 0.750 0.000
Sc: 0.142 0.358 0.500
Sc: 0.358 0.858 0.216
Sc: 0.642 0.142 0.784
Sc: 0.858 0.642 0.500

[6]
The following is a DFT calculation (PBE) of a relaxed Ga3Fe7Co2 crystal.

Summary:
formation enthalpy at 0 K	1.15	eV per formula unit
space group	P2/m, No. 10
Fermi-level density of states	12.48	states/eV/cell

a = 4.164 Å, b = 2.628 Å, c = 13.645 Å
α = 90.00°, β = 92.05°, γ = 90.00°
Fractional positions:
Ga: 0.000 0.000 0.000
Ga: 0.269 0.500 0.641
Ga: 0.731 0.500 0.359
Fe: 0.164 0.500 0.149
Fe: 0.245 0.000 0.460
Fe: 0.326 0.000 0.827
Fe: 0.500 0.500 0.000
Fe: 0.674 0.000 0.173
Fe: 0.755 0.000 0.540
Fe: 0.836 0.500 0.851
Co: 0.221 0.000 0.292
Co: 0.779 0.000 0.708